Record 1
DFT (GGA-PBEsol) results for an optimized crystal structure of CrN2O2.

a b c (Å): 3.640 3.671 3.671
angles (deg): 90.00 90.00 90.00
Last column: magnetic moment on the atom in μB.
Atoms (fractional coordinates):
Cr 0.000 0.000 0.000  -0.41
O 0.500 0.500 0.500  1.43
O 0.500 0.000 0.000  0.53
N 0.000 0.000 0.500  0.55
N 0.000 0.500 0.000  0.55

Summary:
Size of the total moment = 3.4 μB per formula unit
E above lowest polymorph = 0 meV/atom
Energy relative to the elements, uncorrected = 0.89 eV/atom


Record 2
DFT (GGA-PBEsol) results for an optimized crystal structure of V2OF5.

a b c (Å): 4.489 8.293 8.293
angles (deg): 120.00 90.00 90.00
Last column: magnetic moment on the atom in μB.
Atoms (fractional coordinates):
F 0.252 0.784 0.568  0.00
F 0.252 0.124 0.248  0.00
F 0.252 0.432 0.216  0.00
F 0.252 0.102 0.551  0.01
F 0.252 0.124 0.876  0.00
F 0.752 0.568 0.784  0.00
F 0.252 0.449 0.551  0.01
F 0.252 0.784 0.216  0.00
F 0.252 0.449 0.898  0.01
F 0.752 0.216 0.432  0.00
F 0.752 0.232 0.116  0.00
F 0.752 0.884 0.116  0.00
F 0.752 0.216 0.784  0.00
F 0.252 0.752 0.876  0.00
F 0.752 0.884 0.768  0.00
O 0.752 0.920 0.460  -0.16
O 0.752 0.540 0.080  -0.16
O 0.752 0.540 0.460  -0.16
V 0.516 0.995 0.655  1.49
V 0.516 0.660 0.005  1.49
V 0.988 0.995 0.340  1.49
V 0.988 0.345 0.005  1.49
V 0.988 0.660 0.655  1.49
V 0.516 0.345 0.340  1.49

Summary:
Size of the total moment = 3.0 μB per formula unit
E above lowest polymorph = 43 meV/atom
Energy relative to the elements, uncorrected = -2.78 eV/atom


Record 3
DFT (GGA-PBEsol) results for an optimized crystal structure of Sr2ReAsPb.

a b c (Å): 5.047 6.019 6.019
angles (deg): 90.00 90.00 90.00
Last column: magnetic moment on the atom in μB.
Atoms (fractional coordinates):
Sr 0.000 0.000 0.500  -0.01
Sr 0.000 0.500 0.000  -0.01
Re 0.500 0.000 0.000  1.95
Pb 0.000 0.000 0.000  -0.06
As 0.500 0.500 0.500  0.00

Summary:
Size of the total moment = 2.3 μB per formula unit
ΔH_f (0 K) = 23.47 kcal/mol of atoms


Record 4
DFT (GGA-PBEsol) results for an optimized crystal structure of BaSr2.

a b c (Å): 4.397 6.736 6.736
angles (deg): 90.00 90.00 90.00
Atoms (fractional coordinates):
Sr 0.500 0.500 0.000
Sr 0.500 0.000 0.500
Ba 0.000 0.000 0.000

Summary:
Size of the total moment = 0.0 μB per formula unit
ΔH_f (0 K) = 8.11 kcal/mol of atoms
E above lowest polymorph = 348 meV/atom


Record 5
DFT (GGA-PBEsol) results for an optimized crystal structure of UInPt2.

a b c (Å): 4.548 4.548 8.742
angles (deg): 90.00 90.00 120.00
Last column: magnetic moment on the atom in μB.
Atoms (fractional coordinates):
U 0.333 0.667 0.250  1.59
U 0.667 0.333 0.750  1.59
In 0.000 0.000 0.000  0.00
In 0.000 0.000 0.500  0.00
Pt 0.667 0.333 0.090  -0.04
Pt 0.333 0.667 0.590  -0.04
Pt 0.667 0.333 0.410  -0.04
Pt 0.333 0.667 0.910  -0.04

Summary:
Size of the total moment = 1.6 μB per formula unit
ΔH_f (0 K) = -11.56 kcal/mol of atoms


Record 6
DFT (GGA-PBEsol) results for an optimized crystal structure of Na2NdPCO7.

a b c (Å): 5.113 7.042 9.420
angles (deg): 90.00 89.91 90.00
Atoms (fractional coordinates):
O 0.578 0.250 0.637
O 0.015 0.750 0.838
O 0.445 0.750 0.818
O 0.263 0.750 0.037
O 0.138 0.072 0.645
O 0.985 0.250 0.162
O 0.422 0.750 0.363
O 0.286 0.250 0.428
O 0.714 0.750 0.572
O 0.862 0.928 0.355
O 0.737 0.250 0.963
O 0.555 0.250 0.182
O 0.862 0.572 0.355
O 0.138 0.428 0.645
P 0.713 0.750 0.406
P 0.287 0.250 0.594
Na 0.252 0.990 0.199
Na 0.252 0.510 0.199
Na 0.748 0.010 0.801
Na 0.748 0.490 0.801
C 0.760 0.250 0.096
C 0.240 0.750 0.904
Nd 0.216 0.750 0.601
Nd 0.784 0.250 0.399

Summary:
Size of the total moment = 0.0 μB per formula unit
Energy relative to the elements, uncorrected = -2.34 eV/atom


Summary of E in eV per atom
-6.666 -7.045 -4.206 -1.592 -7.768 -7.352
(order as listed above)